(1)
First-principles (PBE) data for a relaxed CaEuAg4 crystal, as listed in Alexandria via LeMat-Bulk.

Geometry as POSCAR:
```
CaEuAg4
1.0
5.817 0.000 0.000
2.909 5.038 0.000
2.909 1.679 4.750
Eu Ag Ca
1 4 1
direct
0.250 0.250 0.250
0.625 0.625 0.124
0.124 0.625 0.625
0.625 0.124 0.625
0.625 0.625 0.625
0.000 0.000 0.000
```

Properties
The calculation puts the calculated formation energy at -0.2245 eV/atom. Its symmetry is F-43m, No. 216.



(2)
First-principles (PBE) data for a relaxed ReNiRu crystal, as listed in Alexandria via LeMat-Bulk.

Geometry as POSCAR:
```
ReNiRu
1.0
-4.431 0.699 -0.908
-2.002 -2.391 -3.350
2.282 -0.214 3.961
Re Ru Ni
1 1 1
direct
0.335 0.335 0.000
0.665 0.665 0.000
0.000 0.000 0.000
```

Properties
The calculation puts the calculated formation energy at -0.0066 eV/atom. Its symmetry is Imm2, No. 44.



(3)
First-principles (PBE) data for a relaxed Dy2SiNi6Ge crystal, as listed in Alexandria via LeMat-Bulk.

Geometry as POSCAR:
```
Dy2SiNi6Ge
1.0
6.080 0.134 -0.030
0.116 6.099 -0.166
3.074 2.984 4.140
Ni Si Ge Dy
6 1 1 2
direct
0.854 0.694 0.964
0.146 0.306 0.036
0.876 0.836 0.491
0.124 0.164 0.509
0.107 0.624 0.199
0.893 0.376 0.801
0.000 0.000 0.000
0.500 0.500 0.000
0.623 0.217 0.573
0.377 0.783 0.427
```

Properties
The calculation puts the uncorrected formation energy at -0.4243 eV/atom. Its symmetry is P-1, No. 2.



(4)
First-principles (PBE) data for a relaxed K2PuBr2O2 crystal, as listed in Alexandria via LeMat-Bulk.

Geometry as POSCAR:
```
K2PuBr2O2
1.0
4.382 0.000 0.000
0.000 4.382 0.000
-2.191 -2.191 8.881
K Pu O Br
2 1 2 2
direct
0.624 0.624 0.248
0.376 0.376 0.752
0.000 0.000 0.000
0.000 0.500 0.000
0.500 0.000 0.000
0.832 0.832 0.665
0.168 0.168 0.335
```

Properties
The calculation puts the uncorrected formation energy at -2.1383 eV/atom. Its symmetry is I4/mmm, No. 139.



(5)
First-principles (PBE) data for a relaxed Li2AcSb2 crystal, as listed in Alexandria via LeMat-Bulk.

Geometry as POSCAR:
```
Li2AcSb2
1.0
-4.378 -0.890 -1.846
3.266 -3.551 0.295
-5.000 -3.473 13.533
Li Ac Sb
4 2 4
direct
0.667 0.333 0.571
0.667 0.333 0.929
0.333 0.667 0.429
0.333 0.667 0.071
0.000 0.000 0.750
0.000 0.000 0.250
0.333 0.667 0.876
0.333 0.667 0.624
0.667 0.333 0.376
0.667 0.333 0.124
```

Properties
The calculation puts the uncorrected formation energy at -0.7025 eV/atom. Its symmetry is P6_3/mmc, No. 194.



(6)
First-principles (PBE) data for a relaxed TlSb2Cl crystal, as listed in Alexandria via LeMat-Bulk.

Geometry as POSCAR:
```
TlSb2Cl
1.0
-5.711 1.537 1.957
-0.265 -2.823 5.547
3.104 4.491 -3.001
Sb Tl Cl
2 1 1
direct
0.987 0.987 0.000
0.791 0.291 0.500
0.471 0.471 0.000
0.250 0.750 0.500
```

Properties
The calculation puts the uncorrected formation energy at -0.1626 eV/atom. Its symmetry is Imm2, No. 44.



(7)
First-principles (PBE) data for a relaxed InReAg2 crystal, as listed in Alexandria via LeMat-Bulk.

Geometry as POSCAR:
```
InReAg2
1.0
-2.689 -2.759 0.639
1.654 -2.245 -2.734
5.519 -6.734 6.080
Ag In Re
4 2 2
direct
0.632 0.125 0.250
0.875 0.882 0.750
0.375 0.368 0.750
0.118 0.625 0.250
0.250 0.750 0.500
0.500 0.500 0.000
0.750 0.250 0.500
0.000 0.000 0.000
```

Properties
The calculation puts the calculated formation energy at 0.8685 eV/atom. Its symmetry is I-42d, No. 122.



(8)
First-principles (PBE) data for a relaxed Sn2GePd crystal, as listed in Alexandria via LeMat-Bulk.

Geometry as POSCAR:
```
Sn2GePd
1.0
-0.408 -2.282 2.376
1.216 -2.329 -2.029
7.123 1.445 2.610
Sn Pd Ge
2 1 1
direct
0.000 0.000 0.223
0.000 0.000 0.777
0.500 0.500 0.000
0.500 0.500 0.500
```

Properties
The calculation puts the calculated formation energy at -0.0993 eV/atom. Its symmetry is P4/mmm, No. 123.



Total moment list, top to bottom, in μB per formula unit: 8.130, 0.001, 0.000, 4.000, 0.000, 0.000, 1.212, 0.000